Entry from Alexandria via LeMat-Bulk: Be2TlSnCl after structural relaxation (GGA-PBEsol).

a b c (Å): 4.4995 4.4995 6.5738
angles (deg): 90.00 90.00 90.00
Atoms (fractional coordinates):
Sn1 0.0000 0.0000 0.0000
Tl1 0.0000 0.0000 0.5000
Be1 0.0000 0.5000 0.0000
Be2 0.5000 0.0000 0.0000
Cl1 0.5000 0.5000 0.5000

Summary:
formation energy from raw total energies	0.46	eV per atom
uncorrected energy	-14.59	eV per cell



Entry from Alexandria via LeMat-Bulk: SrBeCl2 after structural relaxation (GGA-PBEsol).

a b c (Å): 4.2120 4.2120 5.9014
angles (deg): 110.91 110.91 90.00
Atoms (fractional coordinates):
Cl1 0.0000 0.0000 0.0000
Cl2 0.7500 0.2500 0.5000
Be1 0.2500 0.7500 0.5000
Sr1 0.5000 0.5000 0.0000

Summary:
formation energy from raw total energies	-0.79	eV per atom
uncorrected energy	-13.00	eV per cell



Entry from Alexandria via LeMat-Bulk: TaBe2Cl after structural relaxation (GGA-PBEsol).

a b c (Å): 2.7893 4.4156 4.5798
angles (deg): 96.12 90.00 108.41
Atoms (fractional coordinates):
Be1 0.2708 0.5415 0.8045
Be2 0.0062 0.0124 0.9560
Cl1 0.4788 0.9575 0.4772
Ta1 0.7443 0.4885 0.2623

Summary:
formation energy from raw total energies	0.38	eV per atom
uncorrected energy	-21.04	eV per cell



Entry from Alexandria via LeMat-Bulk: TaBeCl2 after structural relaxation (GGA-PBEsol).

a b c (Å): 4.0090 4.0090 4.5811
angles (deg): 115.95 115.95 90.00
Atoms (fractional coordinates):
Ta1 0.5000 0.5000 0.0000
Cl1 0.2500 0.7500 0.5000
Cl2 0.7500 0.2500 0.5000
Be1 0.0000 0.0000 0.0000

Summary:
formation energy from raw total energies	0.48	eV per atom
uncorrected energy	-18.65	eV per cell



Entry from Alexandria via LeMat-Bulk: TaBeCl after structural relaxation (GGA-PBEsol).

a b c (Å): 4.0993 4.0993 4.0993
angles (deg): 60.00 60.00 60.00
Atoms (fractional coordinates):
Cl1 0.0000 0.0000 0.0000
Ta1 0.5000 0.5000 0.5000
Be1 0.2500 0.2500 0.2500

Summary:
formation energy from raw total energies	1.45	eV per atom
uncorrected energy	-14.21	eV per cell



Entry from Alexandria via LeMat-Bulk: TaBeCl2 after structural relaxation (GGA-PBEsol).

a b c (Å): 3.1538 3.7281 7.2091
angles (deg): 104.98 102.63 90.00
Atoms (fractional coordinates):
Cl1 0.8572 0.8572 0.7144
Cl2 0.1428 0.1428 0.2856
Ta1 0.5000 0.0000 0.0000
Be1 0.0000 0.5000 0.0000

Summary:
formation energy from raw total energies	-0.22	eV per atom
uncorrected energy	-21.44	eV per cell



Entry from Alexandria via LeMat-Bulk: TaBe2Cl after structural relaxation (GGA-PBEsol).

a b c (Å): 3.5276 3.5276 4.8014
angles (deg): 111.55 111.55 90.00
Atoms (fractional coordinates):
Be1 0.7500 0.2500 0.5000
Be2 0.0000 0.0000 0.0000
Cl1 0.5000 0.5000 0.0000
Ta1 0.2500 0.7500 0.5000

Summary:
formation energy from raw total energies	0.60	eV per atom
uncorrected energy	-20.16	eV per cell



Entry from Alexandria via LeMat-Bulk: BeTeCl2 after structural relaxation (GGA-PBEsol).

a b c (Å): 6.3768 6.3768 6.3768
angles (deg): 91.33 119.23 119.23
Atoms (fractional coordinates):
Be1 0.5000 0.2500 0.7500
Be2 0.0000 0.5000 0.5000
Cl1 0.6924 0.3750 0.5674
Cl2 0.8076 0.4326 0.1250
Cl3 0.1924 0.3174 0.6250
Cl4 0.3076 0.8750 0.6826
Te1 0.0000 0.0000 0.0000
Te2 0.5000 0.7500 0.2500

Summary:
formation energy from raw total energies	-0.42	eV per atom
uncorrected energy	-26.42	eV per cell



Entry from Alexandria via LeMat-Bulk: BeTeCl2 after structural relaxation (GGA-PBEsol).

a b c (Å): 4.7577 4.7577 4.7577
angles (deg): 60.00 60.00 60.00
Atoms (fractional coordinates):
Cl1 0.0000 0.0000 0.0000
Cl2 0.2500 0.2500 0.2500
Te1 0.7500 0.7500 0.7500
Be1 0.5000 0.5000 0.5000

Summary:
formation energy from raw total energies	0.41	eV per atom
uncorrected energy	-9.90	eV per cell



Entry from Alexandria via LeMat-Bulk: BeTeCl2 after structural relaxation (GGA-PBEsol).

a b c (Å): 3.9212 5.0386 5.7266
angles (deg): 109.41 90.00 90.00
Atoms (fractional coordinates):
Cl1 0.5000 0.5478 0.2235
Cl2 0.0000 0.8268 0.7765
Be1 0.5000 0.3962 0.8813
Te1 0.0000 0.2292 0.6186

Summary:
formation energy from raw total energies	-0.51	eV per atom
uncorrected energy	-13.60	eV per cell



Entry from Alexandria via LeMat-Bulk: BeTeCl after structural relaxation (GGA-PBEsol).

a b c (Å): 3.2241 3.4069 7.4335
angles (deg): 103.25 102.52 90.00
Atoms (fractional coordinates):
Be1 0.1560 0.1560 0.3121
Te1 0.5591 0.5591 0.1183
Cl1 0.2848 0.2848 0.5696

Summary:
formation energy from raw total energies	-0.34	eV per atom
uncorrected energy	-10.55	eV per cell



Entry from Alexandria via LeMat-Bulk: BeTeCl2 after structural relaxation (GGA-PBEsol).

a b c (Å): 3.2418 4.4284 5.5217
angles (deg): 90.00 90.00 90.00
Atoms (fractional coordinates):
Cl1 0.0000 0.0000 0.0000
Cl2 0.5000 0.0000 0.5000
Te1 0.5000 0.5000 0.0000
Be1 0.0000 0.5000 0.5000

Summary:
formation energy from raw total energies	0.22	eV per atom
uncorrected energy	-10.66	eV per cell



Entry from Alexandria via LeMat-Bulk: BeZn2TeCl after structural relaxation (GGA-PBEsol).

a b c (Å): 3.9887 4.9052 4.9052
angles (deg): 90.00 90.00 90.00
Atoms (fractional coordinates):
Zn1 0.0000 0.5000 0.0000
Zn2 0.0000 0.0000 0.5000
Te1 0.5000 0.5000 0.5000
Cl1 0.5000 0.0000 0.0000
Be1 0.0000 0.0000 0.0000

Summary:
formation energy from raw total energies	0.29	eV per atom
uncorrected energy	-11.24	eV per cell



Entry from Alexandria via LeMat-Bulk: ZrBe2TeCl after structural relaxation (GGA-PBEsol).

a b c (Å): 4.6673 5.0199 5.0199
angles (deg): 90.00 90.00 90.00
Atoms (fractional coordinates):
Zr1 0.0000 0.0000 0.0000
Be1 0.0000 0.5000 0.0000
Be2 0.0000 0.0000 0.5000
Cl1 0.5000 0.0000 0.0000
Te1 0.5000 0.5000 0.5000

Summary:
formation energy from raw total energies	0.76	eV per atom
uncorrected energy	-18.84	eV per cell



Entry from Alexandria via LeMat-Bulk: TiBeCl3 after structural relaxation (GGA-PBEsol).

a b c (Å): 4.4196 4.4196 4.4196
angles (deg): 90.00 90.00 90.00
Atoms (fractional coordinates):
Cl1 0.0000 0.0000 0.5000
Cl2 0.5000 0.0000 0.0000
Cl3 0.0000 0.5000 0.0000
Ti1 0.5000 0.5000 0.5000
Be1 0.0000 0.0000 0.0000

Summary:
formation energy from raw total energies	-0.39	eV per atom
uncorrected energy	-20.29	eV per cell



Entry from Alexandria via LeMat-Bulk: TiBeCl2 after structural relaxation (GGA-PBEsol).

a b c (Å): 5.2697 5.2697 6.1500
angles (deg): 115.37 115.37 90.00
Atoms (fractional coordinates):
Be1 0.5000 0.5000 0.0000
Be2 0.7500 0.2500 0.5000
Cl1 0.4384 0.8750 0.2500
Cl2 0.8116 0.3750 0.2500
Cl3 0.1250 0.1884 0.7500
Cl4 0.6250 0.5616 0.7500
Ti1 0.2500 0.7500 0.5000
Ti2 0.0000 0.0000 0.0000

Summary:
formation energy from raw total energies	-0.06	eV per atom
uncorrected energy	-33.14	eV per cell



Entry from Alexandria via LeMat-Bulk: YTiBe2Cl after structural relaxation (GGA-PBEsol).

a b c (Å): 4.9321 5.0435 5.0435
angles (deg): 90.00 90.00 90.00
Atoms (fractional coordinates):
Ti1 0.5000 0.0000 0.0000
Cl1 0.5000 0.5000 0.5000
Be1 0.0000 0.5000 0.0000
Be2 0.0000 0.0000 0.5000
Y1 0.0000 0.0000 0.0000

Summary:
formation energy from raw total energies	1.73	eV per atom
uncorrected energy	-16.49	eV per cell



Entry from Alexandria via LeMat-Bulk: Be4TlCl after structural relaxation (GGA-PBEsol).

a b c (Å): 4.8465 4.8465 4.8465
angles (deg): 60.00 60.00 60.00
Atoms (fractional coordinates):
Be1 0.6296 0.1113 0.6296
Be2 0.6296 0.6296 0.1113
Be3 0.1113 0.6296 0.6296
Be4 0.6296 0.6296 0.6296
Tl1 0.0000 0.0000 0.0000
Cl1 0.2500 0.2500 0.2500

Summary:
formation energy from raw total energies	0.56	eV per atom
uncorrected energy	-17.30	eV per cell



Entry from Alexandria via LeMat-Bulk: BeWCl3 after structural relaxation (GGA-PBEsol).

a b c (Å): 4.4567 4.4567 4.4567
angles (deg): 90.00 90.00 90.00
Atoms (fractional coordinates):
Cl1 0.0000 0.5000 0.0000
Cl2 0.5000 0.0000 0.0000
Cl3 0.0000 0.0000 0.5000
Be1 0.0000 0.0000 0.0000
W1 0.5000 0.5000 0.5000

Summary:
formation energy from raw total energies	0.59	eV per atom
uncorrected energy	-20.89	eV per cell



Entry from Alexandria via LeMat-Bulk: BeWCl4 after structural relaxation (GGA-PBEsol).

a b c (Å): 5.5280 5.5280 5.5280
angles (deg): 60.00 60.00 60.00
Atoms (fractional coordinates):
Cl1 0.3756 0.3756 0.3756
Cl2 0.3756 0.3756 0.8733
Cl3 0.3756 0.8733 0.3756
Cl4 0.8733 0.3756 0.3756
Be1 0.0000 0.0000 0.0000
W1 0.7500 0.7500 0.7500

Summary:
formation energy from raw total energies	1.64	eV per atom
uncorrected energy	-16.03	eV per cell